No. 1
First-principles (GGA-PBE) data for a relaxed structure of ThCd2Pb2, as listed in Alexandria.

Its energy of formation from the pure elements is -0.88 eV/f.u. For the total DFT energy (no corrections), the calculation gives -3.509 eV/atom.

CIF file:
```
data_ThCd2Pb2
_chemical_formula_sum 'Th4 Cd8 Pb8'
_cell_length_a 4.6715
_cell_length_b 24.8677
_cell_length_c 4.6434
_cell_angle_alpha 90.00
_cell_angle_beta 90.00
_cell_angle_gamma 90.00
_space_group_name_H-M_alt 'C m c m'
_space_group_IT_number 63
_space_group_name_Hall '-C 2c 2'
loop_
_atom_site_label
_atom_site_fract_x
_atom_site_fract_y
_atom_site_fract_z
Th1 0.0000 0.1467 0.2500
Cd1 0.0000 0.0392 0.7500
Cd2 0.0000 0.4576 0.7500
Pb1 0.0000 0.2503 0.7500
Pb2 0.0000 0.3681 0.2500
```

---

No. 2
First-principles (GGA-PBE) data for a relaxed structure of Th2Cd16Pb, as listed in Alexandria.

Its energy of formation from the pure elements is -1.10 eV/f.u. For the total DFT energy (no corrections), the calculation gives -1.805 eV/atom.

CIF file:
```
data_Th2Cd16Pb
_chemical_formula_sum 'Th6 Cd48 Pb3'
_cell_length_a 10.2951
_cell_length_b 10.2951
_cell_length_c 14.6696
_cell_angle_alpha 90.00
_cell_angle_beta 90.00
_cell_angle_gamma 120.00
_space_group_name_H-M_alt 'R 3 m'
_space_group_IT_number 160
_space_group_name_Hall 'R 3 -2"'
loop_
_atom_site_label
_atom_site_fract_x
_atom_site_fract_y
_atom_site_fract_z
Th1 0.0000 0.0000 0.0000
Th2 0.0000 0.0000 0.3268
Cd1 0.0000 0.0000 0.5606
Cd2 0.0032 0.3130 0.6657
Cd3 0.0244 0.5122 0.1618
Cd4 0.0330 0.5165 0.8205
Cd5 0.1682 0.3363 0.8490
Pb1 0.0000 0.0000 0.7678
```

---

No. 3
First-principles (GGA-PBE) data for a relaxed structure of Th2CdPb3, as listed in Alexandria.

Its energy of formation from the pure elements is 0.46 eV/f.u. For the total DFT energy (no corrections), the calculation gives -4.403 eV/atom.

CIF file:
```
data_Th2CdPb3
_chemical_formula_sum 'Th8 Cd4 Pb12'
_cell_length_a 14.4973
_cell_length_b 10.4235
_cell_length_c 5.3173
_cell_angle_alpha 90.00
_cell_angle_beta 90.00
_cell_angle_gamma 90.00
_space_group_name_H-M_alt 'C m c m'
_space_group_IT_number 63
_space_group_name_Hall '-C 2c 2'
loop_
_atom_site_label
_atom_site_fract_x
_atom_site_fract_y
_atom_site_fract_z
Th1 0.1141 0.1051 0.2500
Cd1 0.0000 0.2034 0.7500
Pb1 0.0000 0.3989 0.2500
Pb2 0.2377 0.3625 0.2500
```

---

No. 4
First-principles (GGA-PBE) data for a relaxed structure of Th5Cd3Pb12, as listed in Alexandria.

Its energy of formation from the pure elements is 8.86 eV/f.u. For the total DFT energy (no corrections), the calculation gives -3.774 eV/atom.

CIF file:
```
data_Th5Cd3Pb12
_chemical_formula_sum 'Th40 Cd24 Pb96'
_cell_length_a 18.2302
_cell_length_b 18.2302
_cell_length_c 18.2302
_cell_angle_alpha 90.00
_cell_angle_beta 90.00
_cell_angle_gamma 90.00
_space_group_name_H-M_alt 'I a -3 d'
_space_group_IT_number 230
_space_group_name_Hall '-I 4bd 2c 3'
loop_
_atom_site_label
_atom_site_fract_x
_atom_site_fract_y
_atom_site_fract_z
Th1 0.0000 0.0000 0.0000
Th2 0.0000 0.2500 0.3750
Cd1 0.0000 0.2500 0.1250
Pb1 0.0203 0.0939 0.6498
```

---

No. 5
First-principles (GGA-PBE) data for a relaxed structure of ThCd2Pb, as listed in Alexandria.

Its energy of formation from the pure elements is 1.00 eV/f.u. For the total DFT energy (no corrections), the calculation gives -2.990 eV/atom. As for the energy above the lowest structure with this stoichiometry: 466.9 meV per atom.

CIF file:
```
data_ThCd2Pb
_chemical_formula_sum 'Th3 Cd6 Pb3'
_cell_length_a 3.3799
_cell_length_b 3.3799
_cell_length_c 36.0273
_cell_angle_alpha 90.00
_cell_angle_beta 90.00
_cell_angle_gamma 120.00
_space_group_name_H-M_alt 'R -3 m'
_space_group_IT_number 166
_space_group_name_Hall '-R 3 2"'
loop_
_atom_site_label
_atom_site_fract_x
_atom_site_fract_y
_atom_site_fract_z
Th1 0.0000 0.0000 0.0000
Cd1 0.0000 0.0000 0.0900
Pb1 0.0000 0.0000 0.5000
```

---

No. 6
First-principles (GGA-PBE) data for a relaxed structure of ThCd2Pb, as listed in Alexandria.

Its energy of formation from the pure elements is -0.20 eV/f.u. For the total DFT energy (no corrections), the calculation gives -3.289 eV/atom. As for the energy above the lowest structure with this stoichiometry: 168.0 meV per atom.

CIF file:
```
data_ThCd2Pb
_chemical_formula_sum 'Th1 Cd2 Pb1'
_cell_length_a 3.8512
_cell_length_b 3.8512
_cell_length_c 7.3869
_cell_angle_alpha 90.00
_cell_angle_beta 90.00
_cell_angle_gamma 90.00
_space_group_name_H-M_alt 'P 4/m m m'
_space_group_IT_number 123
_space_group_name_Hall '-P 4 2'
loop_
_atom_site_label
_atom_site_fract_x
_atom_site_fract_y
_atom_site_fract_z
Th1 0.0000 0.0000 0.0000
Cd1 0.5000 0.5000 0.2646
Pb1 0.0000 0.0000 0.5000
```